[1]
{
  "formula": "BaGaP2O",
  "functional": "SCAN",
  "state": "single point on PBEsol structure",
  "cell": [[4.464, 0.000, 0.000], [0.000, 5.751, 0.000], [0.000, 0.000, 5.751]],
  "species": ["P", "P", "O", "Ga", "Ba"],
  "fractional_positions": [[0.000, 0.000, 0.500], [0.000, 0.500, 0.000], [0.500, 0.000, 0.000], [0.500, 0.500, 0.500], [0.000, 0.000, 0.000]],
  "density_g_cm3": 3.21,
  "formation_energy_uncorrected_ev_per_atom": 0.787
}

=====

[2]
{
  "formula": "Ce4SmO10",
  "functional": "SCAN",
  "state": "single point on PBEsol structure",
  "cell": [[5.412, 0.000, 0.000], [2.706, 6.050, 0.000], [2.706, 0.000, 6.050]],
  "species": ["Sm", "O", "O", "O", "O", "O", "O", "O", "O", "O", "O", "Ce", "Ce", "Ce", "Ce"],
  "fractional_positions": [[0.000, 0.000, 0.000], [0.950, 0.695, 0.897], [0.542, 0.305, 0.103], [0.750, 0.500, 0.500], [0.645, 0.897, 0.305], [0.250, 0.500, 0.500], [0.458, 0.695, 0.897], [0.847, 0.103, 0.695], [0.050, 0.305, 0.103], [0.153, 0.897, 0.305], [0.355, 0.103, 0.695], [0.601, 0.600, 0.199], [0.200, 0.199, 0.400], [0.800, 0.801, 0.600], [0.399, 0.400, 0.801]],
  "density_g_cm3": 7.30,
  "formation_energy_uncorrected_ev_per_atom": -3.596
}

=====

[3]
{
  "formula": "MnFe2Ag",
  "functional": "SCAN",
  "state": "single point on PBEsol structure",
  "cell": [[-0.445, 2.563, -0.249], [-0.339, -0.505, -4.581], [-4.104, -0.512, 2.063]],
  "species": ["Mn", "Fe", "Fe", "Ag"],
  "fractional_positions": [[0.500, 0.000, 0.000], [0.000, 0.500, 0.000], [0.000, 0.000, 0.500], [0.500, 0.500, 0.500]],
  "density_g_cm3": 8.77
}

=====

[4]
{
  "formula": "CaZnTc2",
  "functional": "SCAN",
  "state": "single point on PBEsol structure",
  "cell": [[-0.099, -2.858, 1.135], [1.891, 0.839, 2.278], [-5.717, 1.817, 4.077]],
  "species": ["Tc", "Tc", "Ca", "Zn"],
  "fractional_positions": [[0.500, 0.500, 0.236], [0.000, 0.000, 0.056], [0.500, 0.500, 0.756], [0.000, 0.000, 0.451]],
  "density_g_cm3": 7.29
}

=====

[5]
{
  "formula": "YCrTeS2",
  "functional": "SCAN",
  "state": "single point on PBEsol structure",
  "cell": [[-4.511, 0.899, 1.580], [-1.150, -5.005, -0.437], [1.545, -0.779, 4.855]],
  "species": ["Y", "S", "S", "Te", "Cr"],
  "fractional_positions": [[0.500, 0.500, 0.500], [0.000, 0.000, 0.500], [0.000, 0.500, 0.000], [0.000, 0.000, 0.000], [0.500, 0.000, 0.000]],
  "density_g_cm3": 4.28,
  "formation_energy_uncorrected_ev_per_atom": 0.172
}

=====

[6]
{
  "formula": "Ba3P3I2",
  "functional": "SCAN",
  "state": "single point on PBEsol structure",
  "cell": [[4.491, 0.000, 0.000], [0.000, 14.061, 0.000], [0.000, 0.000, 17.217]],
  "species": ["P", "P", "P", "P", "P", "P", "P", "P", "P", "P", "P", "P", "Ba", "Ba", "Ba", "Ba", "Ba", "Ba", "Ba", "Ba", "Ba", "Ba", "Ba", "Ba", "I", "I", "I", "I", "I", "I", "I", "I"],
  "fractional_positions": [[0.250, 0.251, 0.290], [0.750, 0.751, 0.210], [0.750, 0.626, 0.784], [0.250, 0.374, 0.216], [0.250, 0.126, 0.716], [0.750, 0.006, 0.222], [0.250, 0.994, 0.778], [0.750, 0.874, 0.284], [0.750, 0.494, 0.722], [0.750, 0.749, 0.710], [0.250, 0.249, 0.790], [0.250, 0.506, 0.278], [0.250, 0.713, 0.342], [0.750, 0.383, 0.372], [0.250, 0.040, 0.356], [0.750, 0.960, 0.644], [0.250, 0.787, 0.842], [0.750, 0.117, 0.872], [0.750, 0.540, 0.144], [0.250, 0.883, 0.128], [0.250, 0.460, 0.856], [0.750, 0.287, 0.658], [0.250, 0.617, 0.628], [0.750, 0.213, 0.158], [0.250, 0.864, 0.509], [0.250, 0.388, 0.530], [0.750, 0.364, 0.991], [0.750, 0.136, 0.491], [0.250, 0.636, 0.009], [0.750, 0.612, 0.470], [0.250, 0.112, 0.030], [0.750, 0.888, 0.970]],
  "density_g_cm3": 4.64,
  "formation_energy_uncorrected_ev_per_atom": -1.434
}

=====

[7]
{
  "formula": "BaIr2W",
  "functional": "SCAN",
  "state": "single point on PBEsol structure",
  "cell": [[-0.814, -2.581, 1.097], [1.808, -2.288, -0.155], [4.263, 0.886, 9.131]],
  "species": ["Ir", "Ir", "Ba", "W"],
  "fractional_positions": [[0.236, 0.236, 0.291], [0.764, 0.764, 0.709], [0.000, 0.000, 0.000], [0.500, 0.500, 0.500]],
  "density_g_cm3": 15.90
}

=====

[8]
{
  "formula": "CsAl3N",
  "functional": "SCAN",
  "state": "single point on PBEsol structure",
  "cell": [[-4.644, 0.570, -4.133], [0.445, -6.081, -1.338], [-4.148, -1.290, 4.484]],
  "species": ["Cs", "Al", "Al", "Al", "N"],
  "fractional_positions": [[0.000, 0.000, 0.000], [0.000, 0.000, 0.500], [0.000, 0.500, 0.000], [0.500, 0.000, 0.000], [0.500, 0.500, 0.500]],
  "density_g_cm3": 1.56,
  "formation_energy_uncorrected_ev_per_atom": 2.671
}

=====

[9]
{
  "formula": "Sc3Pt2",
  "functional": "SCAN",
  "state": "single point on PBEsol structure",
  "cell": [[4.530, 0.000, 0.000], [-2.265, 3.923, 0.000], [0.000, 0.000, 5.566]],
  "species": ["Pt", "Pt", "Sc", "Sc", "Sc"],
  "fractional_positions": [[0.667, 0.333, 0.165], [0.333, 0.667, 0.835], [0.000, 0.000, 0.000], [0.333, 0.667, 0.342], [0.667, 0.333, 0.658]],
  "density_g_cm3": 8.81
}

=====

[10]
{
  "formula": "CrInSb2I",
  "functional": "SCAN",
  "state": "single point on PBEsol structure",
  "cell": [[-2.660, 2.181, -4.310], [3.580, -2.412, -3.431], [-3.403, -4.674, -0.265]],
  "species": ["In", "Sb", "Sb", "Cr", "I"],
  "fractional_positions": [[0.000, 0.000, 0.000], [0.500, 0.000, 0.000], [0.000, 0.500, 0.000], [0.500, 0.500, 0.500], [0.000, 0.000, 0.500]],
  "density_g_cm3": 5.07,
  "formation_energy_uncorrected_ev_per_atom": 0.834
}

=====

[11]
{
  "formula": "AlC2",
  "functional": "SCAN",
  "state": "single point on PBEsol structure",
  "cell": [[-2.808, -0.977, -0.383], [2.234, -1.192, -1.605], [0.567, -2.734, 2.818]],
  "species": ["C", "C", "Al"],
  "fractional_positions": [[0.333, 0.667, 0.161], [0.333, 0.667, 0.839], [0.000, 0.000, 0.500]],
  "density_g_cm3": 2.74
}

=====

[12]
{
  "formula": "K2NaSbCl6",
  "functional": "SCAN",
  "state": "single point on PBEsol structure",
  "cell": [[-1.539, 7.232, -1.127], [-4.740, 3.569, 4.554], [2.566, 5.157, 4.771]],
  "species": ["Cl", "Cl", "Cl", "Cl", "Cl", "Cl", "Sb", "K", "K", "Na"],
  "fractional_positions": [[0.753, 0.247, 0.247], [0.753, 0.247, 0.753], [0.247, 0.247, 0.753], [0.247, 0.753, 0.247], [0.753, 0.753, 0.247], [0.247, 0.753, 0.753], [0.000, 0.000, 0.000], [0.750, 0.750, 0.750], [0.250, 0.250, 0.250], [0.500, 0.500, 0.500]],
  "density_g_cm3": 2.44,
  "formation_energy_uncorrected_ev_per_atom": -1.618
}

=====

[13]
{
  "formula": "AlPW",
  "functional": "SCAN",
  "state": "single point on PBEsol structure",
  "cell": [[-1.447, -2.550, 1.215], [2.738, -0.931, 1.308], [-1.544, 3.867, 2.133]],
  "species": ["Al", "W", "P"],
  "fractional_positions": [[0.002, 0.002, 0.004], [0.319, 0.319, 0.637], [0.679, 0.679, 0.359]],
  "density_g_cm3": 9.71
}

=====

[14]
{
  "formula": "ZrAlSe2",
  "functional": "SCAN",
  "state": "single point on PBEsol structure",
  "cell": [[3.545, 0.000, 0.000], [1.773, 3.070, 0.000], [1.773, 1.023, 8.168]],
  "species": ["Al", "Se", "Se", "Zr"],
  "fractional_positions": [[0.500, 0.500, 0.500], [0.107, 0.107, 0.679], [0.893, 0.893, 0.321], [0.000, 0.000, 0.000]],
  "density_g_cm3": 5.16,
  "formation_energy_uncorrected_ev_per_atom": -0.571
}

=====

[15]
{
  "formula": "CdTc2Ir",
  "functional": "SCAN",
  "state": "single point on PBEsol structure",
  "cell": [[-1.258, 0.633, 2.323], [-1.364, -2.347, -0.100], [5.973, -3.653, 4.231]],
  "species": ["Cd", "Tc", "Tc", "Ir"],
  "fractional_positions": [[0.500, 0.500, 0.000], [0.000, 0.000, 0.270], [0.000, 0.000, 0.730], [0.500, 0.500, 0.500]],
  "density_g_cm3": 13.77
}

=====

[16]
{
  "formula": "Zr3CdW",
  "functional": "SCAN",
  "state": "single point on PBEsol structure",
  "cell": [[-1.948, -1.067, 4.498], [-2.431, -3.916, -1.981], [3.932, -2.949, 1.003]],
  "species": ["Zr", "Zr", "Zr", "W", "Cd"],
  "fractional_positions": [[0.000, 0.000, 0.500], [0.500, 0.000, 0.000], [0.000, 0.500, 0.000], [0.500, 0.500, 0.500], [0.000, 0.000, 0.000]],
  "density_g_cm3": 7.50
}

=====

[17]
{
  "formula": "V3ZnO8",
  "functional": "SCAN",
  "state": "single point on PBEsol structure",
  "cell": [[-1.837, -8.076, 1.160], [0.031, -5.474, -7.915], [7.260, -6.174, -1.336]],
  "species": ["Zn", "Zn", "Zn", "Zn", "O", "O", "O", "O", "O", "O", "O", "O", "O", "O", "O", "O", "O", "O", "O", "O", "O", "O", "O", "O", "O", "O", "O", "O", "O", "O", "O", "O", "O", "O", "O", "O", "V", "V", "V", "V", "V", "V", "V", "V", "V", "V", "V", "V"],
  "fractional_positions": [[0.017, 0.483, 0.830], [0.330, 0.517, 0.170], [0.830, 0.170, 0.517], [0.517, 0.830, 0.483], [0.732, 0.644, 0.822], [0.625, 0.601, 0.622], [0.247, 0.296, 0.863], [0.699, 0.178, 0.356], [0.232, 0.822, 0.644], [0.073, 0.903, 0.938], [0.723, 0.691, 0.154], [0.389, 0.808, 0.357], [0.914, 0.097, 0.062], [0.088, 0.076, 0.376], [0.573, 0.938, 0.903], [0.889, 0.357, 0.808], [0.348, 0.378, 0.399], [0.882, 0.905, 0.615], [0.406, 0.704, 0.137], [0.568, 0.309, 0.846], [0.906, 0.137, 0.704], [0.125, 0.622, 0.601], [0.402, 0.095, 0.385], [0.223, 0.154, 0.691], [0.068, 0.846, 0.309], [0.554, 0.192, 0.643], [0.414, 0.062, 0.097], [0.054, 0.643, 0.192], [0.848, 0.399, 0.378], [0.040, 0.624, 0.924], [0.382, 0.615, 0.905], [0.902, 0.385, 0.095], [0.747, 0.863, 0.296], [0.540, 0.924, 0.624], [0.199, 0.356, 0.178], [0.588, 0.376, 0.076], [0.637, 0.490, 0.812], [0.007, 0.144, 0.811], [0.939, 0.510, 0.188], [0.681, 0.853, 0.743], [0.463, 0.189, 0.856], [0.777, 0.257, 0.147], [0.963, 0.856, 0.189], [0.137, 0.812, 0.490], [0.507, 0.811, 0.144], [0.181, 0.743, 0.853], [0.439, 0.188, 0.510], [0.277, 0.147, 0.257]],
  "density_g_cm3": 3.92,
  "formation_energy_uncorrected_ev_per_atom": -2.413
}

=====

[18]
{
  "formula": "KNiAg2",
  "functional": "SCAN",
  "state": "single point on PBEsol structure",
  "cell": [[-0.291, 2.892, 0.334], [-0.579, 1.117, 2.641], [9.280, 2.095, 2.768]],
  "species": ["Ag", "Ag", "K", "Ni"],
  "fractional_positions": [[0.264, 0.264, 0.207], [0.736, 0.736, 0.793], [0.500, 0.500, 0.500], [0.000, 0.000, 0.000]],
  "density_g_cm3": 7.19
}

=====

[19]
{
  "formula": "LiCrCl2",
  "functional": "SCAN",
  "state": "single point on PBEsol structure",
  "cell": [[3.441, 0.000, 0.000], [0.000, 3.598, 0.000], [0.000, 0.000, 6.482]],
  "species": ["Cl", "Cl", "Cr", "Li"],
  "fractional_positions": [[0.000, 0.000, 0.000], [0.000, 0.500, 0.500], [0.500, 0.500, 0.000], [0.500, 0.000, 0.500]],
  "density_g_cm3": 2.69,
  "formation_energy_uncorrected_ev_per_atom": -1.110
}

=====

[20]
{
  "formula": "ZrCo2Tc2",
  "functional": "SCAN",
  "state": "single point on PBEsol structure",
  "cell": [[3.827, 0.000, 0.000], [0.000, 3.827, 0.000], [-1.914, -1.914, 5.104]],
  "species": ["Tc", "Tc", "Zr", "Co", "Co"],
  "fractional_positions": [[0.388, 0.388, 0.777], [0.612, 0.612, 0.223], [0.000, 0.000, 0.000], [0.250, 0.750, 0.500], [0.750, 0.250, 0.500]],
  "density_g_cm3": 9.00
}

=====

no.,energy (eV per cell),total magnetic moment (μB/cell)
1,-79.0,3.119
2,-338.9,1.061
3,-84.8,9.219
4,-93.1,0.000
5,-101.9,3.753
6,-939.2,0.000
7,-248.7,0.000
8,-57.0,0.482
9,-189.7,0.000
10,-158.9,3.777
11,-25.8,0.000
12,-122.2,0.000
13,-88.8,0.001
14,-80.9,0.003
15,-171.0,0.001
16,-183.3,0.000
17,-579.1,4.000
18,-85.1,0.649
19,-41.2,4.995
20,-135.0,2.456